Record 1
Li2Hg3Pb | PBE | optimized geometry

```
Li2Hg3Pb
1.0
-0.511 3.442 0.496
-2.906 -0.147 -1.972
-5.772 -2.107 8.666
Pb Li Hg
1 2 3
Cartesian
-4.595 0.594 3.595
-6.615 -0.143 6.627
-2.575 1.331 0.563
-1.681 -0.613 2.523
-4.092 -1.493 6.142
0.000 0.000 0.000
```

Calculated values
theoretical density = 10.410 g/cm3
space group = P4/mmm
DOS at the Fermi energy = 2.7 states/eV/cell
magnetization = 0.000 μB per formula unit
volume = 131.3 Å³/cell
formation energy from the elements = -0.232 eV per atom

Record 2
Li3Hg2Pb2 | PBE | optimized geometry

```
Li3Hg2Pb2
1.0
-2.503 -2.476 0.319
4.551 -2.564 -3.779
2.079 -1.190 7.075
Li Pb Hg
3 2 2
Cartesian
0.583 -2.819 2.275
-1.251 -1.238 0.160
3.545 -3.410 1.341
2.090 -4.758 -0.946
2.038 -1.472 4.562
1.612 -1.641 -0.087
2.516 -4.589 3.702
```

Calculated values
theoretical density = 8.914 g/cm3
space group = C2/m
DOS at the Fermi energy = 1.9 states/eV/cell
magnetization = 0.000 μB per formula unit
energy above the most stable polymorph in this dataset = 7 meV per atom
volume = 155.8 Å³/cell
formation energy from the elements = -0.234 eV per atom

Record 3
Li2HgPb | PBE | optimized geometry

```
Li2HgPb
1.0
-0.209 0.687 -3.579
-3.281 -1.769 -0.148
-2.964 5.397 1.209
Li Pb Hg
2 1 1
Cartesian
-2.898 5.277 1.182
-2.464 0.768 -1.570
-1.410 2.567 0.575
-4.128 3.798 -0.891
```

Calculated values
theoretical density = 8.195 g/cm3
space group = Pmm2
DOS at the Fermi energy = 1.1 states/eV/cell
magnetization = 0.000 μB per formula unit
volume = 85.4 Å³/cell
formation energy from the elements = -0.256 eV per atom

Record 4
LiHg3Pb | PBE | optimized geometry

```
LiHg3Pb
1.0
-1.682 -5.212 2.313
-2.025 -3.329 -8.973
8.283 -2.195 1.076
Hg Li Pb
12 4 4
Cartesian
6.054 -5.624 1.917
4.668 -5.089 -6.462
4.762 -8.156 -2.184
4.395 -2.942 0.977
0.182 -7.795 -6.561
-0.092 -5.647 0.878
-1.478 -5.112 -7.502
5.195 -4.932 -1.307
3.512 -4.204 -3.688
-0.618 -5.804 -4.277
1.065 -6.532 -1.896
-0.185 -2.580 -3.400
5.920 -5.930 -3.965
-2.636 -7.339 -5.721
-1.344 -4.806 -1.619
7.213 -3.398 0.137
1.875 -3.582 -0.976
2.702 -7.154 -4.609
3.294 -6.795 0.457
1.283 -3.942 -6.042
```

Calculated values
theoretical density = 11.077 g/cm3
space group = P2_1/c
DOS at the Fermi energy = 6.3 states/eV/cell
magnetization = 0.000 μB per formula unit
energy above the most stable polymorph in this dataset = 0 meV per atom
volume = 489.3 Å³/cell
formation energy from the elements = -0.113 eV per atom

Record 5
Li3HgPb12 | PBE | optimized geometry

```
Li3HgPb12
1.0
-1.344 -2.536 -3.783
-2.528 -2.866 2.819
-16.196 12.018 -2.304
Pb Li Hg
12 3 1
Cartesian
-15.327 9.003 -0.590
-2.805 0.315 -2.195
-14.735 9.167 -3.892
-11.356 6.056 -0.026
-10.764 6.221 -3.327
-14.023 6.268 -2.201
-6.776 3.261 -2.760
-6.044 0.348 -1.066
-3.397 0.150 1.106
-1.936 -2.701 -0.482
-7.367 3.096 0.542
-10.034 3.308 -1.634
-4.120 3.057 -0.586
-12.076 8.961 -1.718
-8.098 6.009 -1.152
0.000 0.000 0.000
```

Calculated values
theoretical density = 9.823 g/cm3
space group = P4/mmm
DOS at the Fermi energy = 8.0 states/eV/cell
magnetization = 0.000 μB per formula unit
volume = 457.8 Å³/cell
formation energy from the elements = -0.083 eV per atom

Record 6
LiHg2Pb | PBE | optimized geometry

```
LiHg2Pb
1.0
10.099 0.091 0.054
9.501 3.423 0.054
9.501 1.703 2.969
Hg Li Pb
2 1 1
Cartesian
14.983 2.686 1.584
28.669 5.139 3.031
7.275 1.304 0.769
21.826 3.913 2.307
```

Calculated values
theoretical density = 10.393 g/cm3
space group = R-3m
DOS at the Fermi energy = 2.4 states/eV/cell
magnetization = 0.000 μB per formula unit
volume = 98.3 Å³/cell
formation energy from the elements = -0.145 eV per atom

Record 7
Li4HgPb | PBE | optimized geometry

```
Li4HgPb
1.0
-1.657 -4.459 1.822
0.209 -1.520 -4.914
4.065 -2.695 -1.794
Hg Li Pb
1 4 1
Cartesian
2.238 -2.868 -5.782
0.685 -4.390 -3.774
1.888 -4.270 -1.101
1.824 -7.219 -1.303
0.802 -1.452 -3.516
3.319 -5.679 -3.333
```

Calculated values
theoretical density = 6.286 g/cm3
space group = P1
DOS at the Fermi energy = 1.8 states/eV/cell
magnetization = 0.000 μB per formula unit
energy above the most stable polymorph in this dataset = 0 meV per atom
volume = 115.1 Å³/cell
formation energy from the elements = -0.302 eV per atom

Record 8
Li7Hg2Pb3 | PBE | optimized geometry

```
Li7Hg2Pb3
1.0
5.042 0.000 0.000
0.000 4.796 -0.952
0.000 -0.418 10.444
Pb Li Hg
3 7 2
Cartesian
2.521 3.103 3.072
2.521 1.275 6.419
2.521 2.398 -0.476
0.000 1.665 8.382
0.000 0.000 0.000
0.000 3.287 4.003
2.521 0.317 1.594
0.000 1.090 5.489
2.521 4.061 7.898
0.000 2.713 1.109
0.000 3.816 6.667
0.000 0.561 2.825
```

Calculated values
theoretical density = 7.101 g/cm3
space group = Cmmm
DOS at the Fermi energy = 3.7 states/eV/cell
magnetization = 0.000 μB per formula unit
volume = 250.5 Å³/cell
formation energy from the elements = -0.214 eV per atom

Record 9
LiHgPb6 | PBE | optimized geometry

```
LiHgPb6
1.0
6.429 1.310 0.000
2.728 6.729 0.000
1.364 3.364 6.038
Pb Hg Li
6 1 1
Cartesian
5.510 2.686 2.723
6.880 6.029 0.000
6.874 6.050 3.314
3.648 5.352 2.723
5.012 8.717 3.314
2.278 2.010 0.000
0.000 0.000 0.000
4.579 4.019 0.000
```

Calculated values
theoretical density = 10.053 g/cm3
space group = C2/m
DOS at the Fermi energy = 4.6 states/eV/cell
magnetization = 0.000 μB per formula unit
energy above the most stable polymorph in this dataset = 92 meV per atom
volume = 239.6 Å³/cell
formation energy from the elements = 0.057 eV per atom

Record 10
Li2HgPb | PBE | optimized geometry

```
Li2HgPb
1.0
-0.383 -4.615 6.173
0.099 -6.183 -4.617
2.940 -5.459 0.925
Hg Pb Li
2 2 4
Cartesian
1.449 -8.521 -1.457
-0.142 -5.399 0.778
0.000 0.000 0.000
1.208 -7.737 3.938
0.741 -5.901 -1.755
2.101 -8.271 1.182
1.955 -13.415 2.151
0.516 -4.927 3.385
```

Calculated values
theoretical density = 7.619 g/cm3
space group = I-42d
DOS at the Fermi energy = 1.3 states/eV/cell
magnetization = 0.000 μB per formula unit
volume = 183.8 Å³/cell
formation energy from the elements = -0.145 eV per atom

Record 11
LiHg2Pb | PBE | optimized geometry

```
LiHg2Pb
1.0
6.140 -0.012 0.052
2.808 5.460 -0.052
-3.747 -3.919 2.882
Hg Pb Li
2 1 1
Cartesian
4.153 2.529 0.000
0.321 0.195 0.000
3.434 -0.603 1.467
1.768 2.133 1.415
```

Calculated values
theoretical density = 10.647 g/cm3
space group = Immm
DOS at the Fermi energy = 1.6 states/eV/cell
magnetization = 0.000 μB per formula unit
volume = 96.0 Å³/cell
formation energy from the elements = -0.140 eV per atom

Record 12
LiHg2Pb | PBE | optimized geometry

```
LiHg2Pb
1.0
-2.271 9.587 1.612
-5.436 8.265 1.345
-3.774 8.153 4.355
Hg Li Pb
2 1 1
Cartesian
-2.774 6.284 1.767
-11.410 25.842 7.266
-5.829 13.202 3.712
-8.690 19.683 5.534
```

Calculated values
theoretical density = 10.188 g/cm3
space group = R3m
DOS at the Fermi energy = 2.6 states/eV/cell
magnetization = 0.000 μB per formula unit
volume = 100.3 Å³/cell
formation energy from the elements = -0.093 eV per atom